--- a ---
Compound: NaCa3P
Source: the Alexandria database
Functional: SCAN
Structure: PBEsol geometry

abc: 5.586 5.586 5.586
angles: 90.00 90.00 90.00
Sites, in units of the cell vectors:
P: 0.000 0.000 0.000
Ca: 0.000 0.500 0.000
Ca: 0.000 0.000 0.500
Ca: 0.500 0.000 0.000
Na: 0.500 0.500 0.500

**D(E_F)**: 3.3 states/eV/cell
**SG**: Pm-3m, No. 221

=====

--- b ---
Compound: NaCa3P
Source: the Alexandria database
Functional: SCAN
Structure: PBEsol geometry

abc: 7.064 10.416 10.416
angles: 96.63 104.10 104.10
Sites, in units of the cell vectors:
P: 0.750 0.199 0.801
P: 0.250 0.801 0.199
P: 0.750 0.932 0.068
P: 0.250 0.068 0.932
Ca: 0.496 0.948 0.817
Ca: 0.004 0.183 0.052
Ca: 0.504 0.052 0.183
Ca: 0.996 0.817 0.948
Ca: 0.007 0.928 0.316
Ca: 0.493 0.684 0.072
Ca: 0.993 0.072 0.684
Ca: 0.507 0.316 0.928
Ca: 0.498 0.806 0.447
Ca: 0.002 0.553 0.194
Ca: 0.502 0.194 0.553
Ca: 0.998 0.447 0.806
Na: 0.983 0.690 0.565
Na: 0.517 0.435 0.310
Na: 0.017 0.310 0.435
Na: 0.483 0.565 0.690

**D(E_F)**: 11.8 states/eV/cell
**SG**: C2/c, No. 15

=====

It comes down to b, which is 0.007 eV/atom more stable than the next structure.